Record 1
Ti2VPt9 | GGA-PBE | optimized geometry

The calculation puts the electronic total energy at -7.330 eV per atom.

Unit cell a=3.935 b=3.935 c=11.843 alpha=90.00 beta=90.00 gamma=90.00
Fractional positions:
Ti 0.000 0.000 0.332
Ti 0.000 0.000 0.668
V 0.000 0.000 0.000
Pt 0.500 0.500 0.000
Pt 0.500 0.500 0.333
Pt 0.500 0.500 0.667
Pt 0.500 0.000 0.167
Pt 0.500 0.000 0.500
Pt 0.500 0.000 0.833
Pt 0.000 0.500 0.167
Pt 0.000 0.500 0.500
Pt 0.000 0.500 0.833

---

Record 2
TiVPt | GGA-PBE | optimized geometry

The distance to the lowest polymorph of the same formula comes out at 0.1182 eV/atom. The calculation puts the electronic total energy at -8.039 eV per atom.

Unit cell a=4.115 b=2.719 c=8.224 alpha=80.48 beta=90.00 gamma=90.00
Fractional positions:
Pt 0.250 0.120 0.761
Pt 0.750 0.880 0.239
Ti 0.250 0.448 0.104
Ti 0.750 0.552 0.896
V 0.750 0.720 0.559
V 0.250 0.280 0.441

---

Record 3
TiVPt3 | GGA-PBE | optimized geometry

The distance to the lowest polymorph of the same formula comes out at 0.9807 eV/atom. The calculation puts the electronic total energy at -6.527 eV per atom.

Unit cell a=4.613 b=4.613 c=4.613 alpha=90.00 beta=90.00 gamma=90.00
Fractional positions:
V 0.000 0.000 0.000
Pt 0.000 0.500 0.000
Pt 0.000 0.000 0.500
Pt 0.500 0.000 0.000
Ti 0.500 0.500 0.500

---

Record 4
TiVPt3 | GGA-PBE | optimized geometry

The distance to the lowest polymorph of the same formula comes out at 0.0000 eV/atom. The calculation puts the electronic total energy at -7.507 eV per atom.

Unit cell a=6.910 b=6.778 c=6.938 alpha=90.00 beta=90.00 gamma=90.00
Fractional positions:
Ti 0.323 0.580 0.750
Ti 0.177 0.080 0.250
Ti 0.677 0.420 0.250
Ti 0.823 0.920 0.750
V 0.000 0.500 0.000
V 0.500 0.000 0.500
V 0.500 0.000 0.000
V 0.000 0.500 0.500
Pt 0.859 0.150 0.054
Pt 0.641 0.650 0.554
Pt 0.641 0.650 0.946
Pt 0.141 0.850 0.554
Pt 0.141 0.850 0.946
Pt 0.359 0.350 0.446
Pt 0.359 0.350 0.054
Pt 0.859 0.150 0.446
Pt 0.127 0.227 0.750
Pt 0.373 0.727 0.250
Pt 0.873 0.773 0.250
Pt 0.627 0.273 0.750

---

Record 5
Ti6VPt | GGA-PBE | optimized geometry

The calculation puts the electronic total energy at -7.901 eV per atom.

Unit cell a=7.764 b=5.336 c=5.341 alpha=60.03 beta=68.56 gamma=42.95
Fractional positions:
Ti 0.740 0.320 0.543
Ti 0.740 0.863 0.457
Ti 0.260 0.137 0.543
Ti 0.260 0.680 0.457
Ti 0.746 0.735 0.000
Ti 0.254 0.265 0.000
V 0.500 0.500 0.000
Pt 0.000 0.000 0.000

---

Record 6
TiVPt14 | GGA-PBE | optimized geometry

The calculation puts the electronic total energy at -6.727 eV per atom.

Unit cell a=5.597 b=5.597 c=7.859 alpha=90.00 beta=90.00 gamma=90.00
Fractional positions:
Ti 0.875 0.875 0.500
V 0.375 0.375 0.500
Pt 0.875 0.875 0.000
Pt 0.375 0.375 0.000
Pt 0.875 0.375 0.500
Pt 0.875 0.375 0.000
Pt 0.375 0.875 0.500
Pt 0.375 0.875 0.000
Pt 0.624 0.126 0.260
Pt 0.624 0.126 0.740
Pt 0.126 0.624 0.260
Pt 0.126 0.624 0.740
Pt 0.624 0.624 0.260
Pt 0.624 0.624 0.740
Pt 0.126 0.126 0.260
Pt 0.126 0.126 0.740

---

Record 7
Ti3VPt | GGA-PBE | optimized geometry

The distance to the lowest polymorph of the same formula comes out at 0.1276 eV/atom. The calculation puts the electronic total energy at -7.151 eV per atom.

Unit cell a=4.790 b=4.790 c=4.790 alpha=90.00 beta=90.00 gamma=90.00
Fractional positions:
V 0.500 0.500 0.500
Pt 0.000 0.000 0.000
Ti 0.000 0.500 0.000
Ti 0.000 0.000 0.500
Ti 0.500 0.000 0.000

---

Record 8
TiV4Pt5 | GGA-PBE | optimized geometry

The calculation puts the electronic total energy at -8.085 eV per atom.

Unit cell a=2.727 b=2.727 c=19.536 alpha=90.00 beta=90.00 gamma=90.00
Fractional positions:
Ti 0.000 0.000 0.000
V 0.000 0.000 0.202
V 0.000 0.000 0.401
V 0.000 0.000 0.599
V 0.000 0.000 0.798
Pt 0.500 0.500 0.104
Pt 0.500 0.500 0.302
Pt 0.500 0.500 0.500
Pt 0.500 0.500 0.698
Pt 0.500 0.500 0.896

---

Record 9
Ti2V2Pt7 | GGA-PBE | optimized geometry

The calculation puts the electronic total energy at -7.414 eV per atom.

Unit cell a=6.229 b=4.779 c=6.229 alpha=85.22 beta=100.56 gamma=94.78
Fractional positions:
Ti 0.791 0.500 0.791
Ti 0.209 0.500 0.209
V 0.733 0.230 0.267
V 0.267 0.770 0.733
Pt 0.041 0.244 0.601
Pt 0.601 0.756 0.041
Pt 0.959 0.756 0.399
Pt 0.399 0.244 0.959
Pt 0.000 0.000 0.000
Pt 0.541 0.764 0.459
Pt 0.459 0.236 0.541

---

Record 10
TiVPt6 | GGA-PBE | optimized geometry

The calculation puts the electronic total energy at -7.310 eV per atom.

Unit cell a=3.931 b=3.931 c=7.888 alpha=90.00 beta=90.00 gamma=90.00
Fractional positions:
Ti 0.000 0.000 0.000
V 0.000 0.000 0.500
Pt 0.500 0.500 0.000
Pt 0.500 0.500 0.500
Pt 0.500 0.000 0.250
Pt 0.500 0.000 0.750
Pt 0.000 0.500 0.250
Pt 0.000 0.500 0.750

---

Record 11
TiV2Pt5 | GGA-PBE | optimized geometry

The calculation puts the electronic total energy at -7.631 eV per atom.

Unit cell a=3.931 b=5.529 c=11.171 alpha=90.00 beta=90.00 gamma=90.00
Fractional positions:
Ti 0.000 0.000 0.500
Ti 0.000 0.500 0.000
V 0.500 0.272 0.366
V 0.500 0.728 0.634
V 0.500 0.228 0.866
V 0.500 0.772 0.134
Pt 0.500 0.266 0.115
Pt 0.500 0.734 0.885
Pt 0.500 0.766 0.385
Pt 0.500 0.234 0.615
Pt 0.000 0.989 0.743
Pt 0.000 0.011 0.257
Pt 0.000 0.489 0.757
Pt 0.000 0.511 0.243
Pt 0.000 0.500 0.500
Pt 0.000 0.000 0.000

---

Record 12
TiV3Pt | GGA-PBE | optimized geometry

The distance to the lowest polymorph of the same formula comes out at 0.0064 eV/atom. The calculation puts the electronic total energy at -7.207 eV per atom.

Unit cell a=4.315 b=4.315 c=4.315 alpha=90.00 beta=90.00 gamma=90.00
Fractional positions:
V 0.000 0.500 0.000
V 0.000 0.000 0.500
V 0.500 0.000 0.000
Pt 0.500 0.500 0.500
Ti 0.000 0.000 0.000

---

Record 13
TiV2Pt9 | GGA-PBE | optimized geometry

The calculation puts the electronic total energy at -7.296 eV per atom.

Unit cell a=3.928 b=3.928 c=11.805 alpha=90.00 beta=90.00 gamma=90.00
Fractional positions:
Ti 0.000 0.000 0.000
V 0.000 0.000 0.336
V 0.000 0.000 0.664
Pt 0.500 0.500 0.000
Pt 0.500 0.500 0.334
Pt 0.500 0.500 0.666
Pt 0.500 0.000 0.167
Pt 0.500 0.000 0.500
Pt 0.500 0.000 0.833
Pt 0.000 0.500 0.167
Pt 0.000 0.500 0.500
Pt 0.000 0.500 0.833

---

Record 14
TiVPtW | GGA-PBE | optimized geometry

The calculation puts the electronic total energy at -9.353 eV per atom.

Unit cell a=4.403 b=4.403 c=4.403 alpha=60.00 beta=60.00 gamma=60.00
Fractional positions:
Ti 0.750 0.750 0.750
W 0.000 0.000 0.000
Pt 0.500 0.500 0.500
V 0.250 0.250 0.250

---

Record 15
TiPtW | GGA-PBE | optimized geometry

The calculation puts the electronic total energy at -9.183 eV per atom.

Unit cell a=4.241 b=2.705 c=8.432 alpha=80.77 beta=90.00 gamma=90.00
Fractional positions:
Pt 0.250 0.114 0.771
Pt 0.750 0.886 0.229
Ti 0.250 0.451 0.098
Ti 0.750 0.549 0.902
W 0.750 0.714 0.572
W 0.250 0.286 0.428

---

Record 16
TiPt2W | GGA-PBE | optimized geometry

The calculation puts the electronic total energy at -8.776 eV per atom.

Unit cell a=4.055 b=3.903 c=3.903 alpha=90.00 beta=90.00 gamma=90.00
Fractional positions:
W 0.500 0.000 0.000
Pt 0.000 0.000 0.500
Pt 0.000 0.500 0.000
Ti 0.500 0.500 0.500

---

Record 17
TiPtW2 | GGA-PBE | optimized geometry

The distance to the lowest polymorph of the same formula comes out at 0.0000 eV/atom. The calculation puts the electronic total energy at -9.806 eV per atom.

Unit cell a=4.482 b=4.482 c=4.482 alpha=60.00 beta=60.00 gamma=60.00
Fractional positions:
W 0.250 0.250 0.250
W 0.750 0.750 0.750
Pt 0.500 0.500 0.500
Ti 0.000 0.000 0.000

---

Record 18
Ti3PtW | GGA-PBE | optimized geometry

The distance to the lowest polymorph of the same formula comes out at 0.0000 eV/atom. The calculation puts the electronic total energy at -7.653 eV per atom.

Unit cell a=4.693 b=4.693 c=4.693 alpha=90.00 beta=90.00 gamma=90.00
Fractional positions:
W 0.000 0.000 0.000
Pt 0.500 0.500 0.500
Ti 0.000 0.500 0.000
Ti 0.000 0.000 0.500
Ti 0.500 0.000 0.000

---

Record 19
TiPt2W | GGA-PBE | optimized geometry

The calculation puts the electronic total energy at -8.176 eV per atom.

Unit cell a=3.893 b=3.893 c=9.456 alpha=78.12 beta=78.12 gamma=90.00
Fractional positions:
W 0.000 0.000 0.000
W 0.750 0.250 0.500
Pt 0.624 0.125 0.250
Pt 0.126 0.625 0.250
Pt 0.375 0.376 0.750
Pt 0.875 0.874 0.750
Ti 0.500 0.500 0.000
Ti 0.250 0.750 0.500

---

Record 20
TiPtW2 | GGA-PBE | optimized geometry

The distance to the lowest polymorph of the same formula comes out at 0.3307 eV/atom. The calculation puts the electronic total energy at -9.475 eV per atom.

Unit cell a=7.335 b=7.335 c=5.804 alpha=50.81 beta=50.81 gamma=90.00
Fractional positions:
W 0.640 0.125 0.250
W 0.110 0.625 0.250
W 0.375 0.360 0.750
W 0.875 0.890 0.750
Pt 0.000 0.000 0.000
Pt 0.750 0.250 0.500
Ti 0.500 0.500 0.000
Ti 0.250 0.750 0.500

---

Record 21
Ti3PtW | GGA-PBE | optimized geometry

The distance to the lowest polymorph of the same formula comes out at 0.0237 eV/atom. The calculation puts the electronic total energy at -7.629 eV per atom.

Unit cell a=4.697 b=4.697 c=4.697 alpha=90.00 beta=90.00 gamma=90.00
Fractional positions:
W 0.500 0.500 0.500
Pt 0.000 0.000 0.000
Ti 0.000 0.500 0.000
Ti 0.000 0.000 0.500
Ti 0.500 0.000 0.000

---

Record 22
TiPt3W | GGA-PBE | optimized geometry

The distance to the lowest polymorph of the same formula comes out at 0.0000 eV/atom. The calculation puts the electronic total energy at -6.808 eV per atom.

Unit cell a=4.809 b=4.809 c=4.809 alpha=90.00 beta=90.00 gamma=90.00
Fractional positions:
W 0.000 0.000 0.000
Pt 0.000 0.500 0.000
Pt 0.000 0.000 0.500
Pt 0.500 0.000 0.000
Ti 0.500 0.500 0.500

---

Record 23
YTiPt2 | GGA-PBE | optimized geometry

The distance to the lowest polymorph of the same formula comes out at 0.1353 eV/atom. The calculation puts the electronic total energy at -7.470 eV per atom.

Unit cell a=4.736 b=4.736 c=4.736 alpha=60.00 beta=60.00 gamma=60.00
Fractional positions:
Y 0.500 0.500 0.500
Pt 0.250 0.250 0.250
Pt 0.750 0.750 0.750
Ti 0.000 0.000 0.000

---

Record 24
YTi3Pt | GGA-PBE | optimized geometry

The distance to the lowest polymorph of the same formula comes out at 0.0000 eV/atom. The calculation puts the electronic total energy at -7.114 eV per atom.

Unit cell a=4.875 b=4.875 c=4.875 alpha=90.00 beta=90.00 gamma=90.00
Fractional positions:
Y 0.500 0.500 0.500
Pt 0.000 0.000 0.000
Ti 0.000 0.500 0.000
Ti 0.000 0.000 0.500
Ti 0.500 0.000 0.000